(1)
## CaLa2Ru2 (PBE)

Data for a relaxed structure of CaLa2Ru2.

```
data_CaLa2Ru2
_symmetry_space_group_name_H-M 'P 1'
_symmetry_Int_Tables_number 1
_cell_length_a 8.5292
_cell_length_b 8.5292
_cell_length_c 3.3227
_cell_angle_alpha 90.00
_cell_angle_beta 90.00
_cell_angle_gamma 90.00
loop_
_symmetry_equiv_pos_as_xyz
'x,y,z'
loop_
_atom_site_label
_atom_site_fract_x
_atom_site_fract_y
_atom_site_fract_z
_atom_site_occupancy
Ru1 0.1752 0.6752 0.5000 1
Ru2 0.6752 0.8248 0.5000 1
Ru3 0.8248 0.3248 0.5000 1
Ru4 0.3248 0.1752 0.5000 1
Ca1 0.0000 0.0000 0.0000 1
Ca2 0.5000 0.5000 0.0000 1
La1 0.3637 0.8637 0.0000 1
La2 0.8637 0.6363 0.0000 1
La3 0.6363 0.1363 0.0000 1
La4 0.1363 0.3637 0.0000 1
```

Properties
calculated total energy	-6.043	eV per atom
energy above the most stable polymorph in this dataset	0.097	eV per atom
total magnetic moment	0.0	μB per formula unit
energy relative to the elements	38.4	meV per atom
mass density	7.14	g cm⁻³

(2)
## CaLaRu2 (PBE)

Data for a relaxed structure of CaLaRu2.

```
data_CaLaRu2
_symmetry_space_group_name_H-M 'P 1'
_symmetry_Int_Tables_number 1
_cell_length_a 4.4197
_cell_length_b 3.1689
_cell_length_c 6.2809
_cell_angle_alpha 79.45
_cell_angle_beta 90.00
_cell_angle_gamma 90.00
loop_
_symmetry_equiv_pos_as_xyz
'x,y,z'
loop_
_atom_site_label
_atom_site_fract_x
_atom_site_fract_y
_atom_site_fract_z
_atom_site_occupancy
Ru1 0.0000 0.9394 0.9410 1
Ru2 0.0000 0.5606 0.5590 1
Ca1 0.5000 0.2500 0.2500 1
La1 0.5000 0.7500 0.7500 1
```

Properties
calculated total energy	-6.171	eV per atom
total magnetic moment	0.0	μB per formula unit
energy relative to the elements	199.2	meV per atom
mass density	7.32	g cm⁻³

(3)
## CaLaRu2 (PBE)

Data for a relaxed structure of CaLaRu2.

```
data_CaLaRu2
_symmetry_space_group_name_H-M 'P 1'
_symmetry_Int_Tables_number 1
_cell_length_a 4.3418
_cell_length_b 4.5516
_cell_length_c 5.6229
_cell_angle_alpha 66.19
_cell_angle_beta 90.00
_cell_angle_gamma 90.00
loop_
_symmetry_equiv_pos_as_xyz
'x,y,z'
loop_
_atom_site_label
_atom_site_fract_x
_atom_site_fract_y
_atom_site_fract_z
_atom_site_occupancy
Ru1 0.0000 0.1744 0.0252 1
Ru2 0.5000 0.0794 0.2164 1
Ca1 0.0000 0.4801 0.4152 1
La1 0.5000 0.7660 0.8432 1
```

Properties
calculated total energy	-6.397	eV per atom
total magnetic moment	0.0	μB per formula unit
energy relative to the elements	-27.2	meV per atom
mass density	6.22	g cm⁻³

(4)
## CaLa2Ru2 (PBE)

Data for a relaxed structure of CaLa2Ru2.

```
data_CaLa2Ru2
_symmetry_space_group_name_H-M 'P 1'
_symmetry_Int_Tables_number 1
_cell_length_a 8.2746
_cell_length_b 8.2746
_cell_length_c 3.6294
_cell_angle_alpha 90.00
_cell_angle_beta 90.00
_cell_angle_gamma 90.00
loop_
_symmetry_equiv_pos_as_xyz
'x,y,z'
loop_
_atom_site_label
_atom_site_fract_x
_atom_site_fract_y
_atom_site_fract_z
_atom_site_occupancy
Ru1 0.3549 0.8549 0.0000 1
Ru2 0.8549 0.6451 0.0000 1
Ru3 0.6451 0.1451 0.0000 1
Ru4 0.1451 0.3549 0.0000 1
Ca1 0.0000 0.0000 0.0000 1
Ca2 0.5000 0.5000 0.0000 1
La1 0.1489 0.6489 0.5000 1
La2 0.6489 0.8511 0.5000 1
La3 0.8511 0.3511 0.5000 1
La4 0.3511 0.1489 0.5000 1
```

Properties
calculated total energy	-6.140	eV per atom
energy above the most stable polymorph in this dataset	0.000	eV per atom
total magnetic moment	0.0	μB per formula unit
energy relative to the elements	-58.8	meV per atom
mass density	6.95	g cm⁻³

(5)
## CaLa2SmRu (PBE)

Data for a relaxed structure of CaLa2SmRu.

```
data_CaLa2SmRu
_symmetry_space_group_name_H-M 'P 1'
_symmetry_Int_Tables_number 1
_cell_length_a 5.6600
_cell_length_b 5.5931
_cell_length_c 5.5931
_cell_angle_alpha 90.00
_cell_angle_beta 90.00
_cell_angle_gamma 90.00
loop_
_symmetry_equiv_pos_as_xyz
'x,y,z'
loop_
_atom_site_label
_atom_site_fract_x
_atom_site_fract_y
_atom_site_fract_z
_atom_site_occupancy
Ca1 0.5000 0.5000 0.5000 1
La1 0.0000 0.0000 0.5000 1
La2 0.0000 0.5000 0.0000 1
Sm1 0.5000 0.0000 0.0000 1
Ru1 0.0000 0.0000 0.0000 1
```

Properties
calculated total energy	-5.318	eV per atom
total magnetic moment	0.0	μB per formula unit
energy relative to the elements	-147.9	meV per atom
mass density	5.34	g cm⁻³

(6)
## CaLa2SnRu (PBE)

Data for a relaxed structure of CaLa2SnRu.

```
data_CaLa2SnRu
_symmetry_space_group_name_H-M 'P 1'
_symmetry_Int_Tables_number 1
_cell_length_a 5.4601
_cell_length_b 5.4601
_cell_length_c 5.3924
_cell_angle_alpha 90.00
_cell_angle_beta 90.00
_cell_angle_gamma 90.00
loop_
_symmetry_equiv_pos_as_xyz
'x,y,z'
loop_
_atom_site_label
_atom_site_fract_x
_atom_site_fract_y
_atom_site_fract_z
_atom_site_occupancy
Ru1 0.0000 0.0000 0.0000 1
Ca1 0.5000 0.5000 0.5000 1
Sn1 0.0000 0.0000 0.5000 1
La1 0.0000 0.5000 0.0000 1
La2 0.5000 0.0000 0.0000 1
```

Properties
calculated total energy	-5.349	eV per atom
energy above the most stable polymorph in this dataset	0.044	eV per atom
total magnetic moment	0.0	μB per formula unit
energy relative to the elements	-322.3	meV per atom
mass density	5.55	g cm⁻³

(7)
## CaLa2SnRu (PBE)

Data for a relaxed structure of CaLa2SnRu.

```
data_CaLa2SnRu
_symmetry_space_group_name_H-M 'P 1'
_symmetry_Int_Tables_number 1
_cell_length_a 5.3342
_cell_length_b 5.3342
_cell_length_c 5.5001
_cell_angle_alpha 90.00
_cell_angle_beta 90.00
_cell_angle_gamma 90.00
loop_
_symmetry_equiv_pos_as_xyz
'x,y,z'
loop_
_atom_site_label
_atom_site_fract_x
_atom_site_fract_y
_atom_site_fract_z
_atom_site_occupancy
Ru1 0.0000 0.0000 0.0000 1
Ca1 0.0000 0.0000 0.5000 1
Sn1 0.5000 0.5000 0.5000 1
La1 0.0000 0.5000 0.0000 1
La2 0.5000 0.0000 0.0000 1
```

Properties
calculated total energy	-5.394	eV per atom
energy above the most stable polymorph in this dataset	0.000	eV per atom
total magnetic moment	0.0	μB per formula unit
energy relative to the elements	-366.8	meV per atom
mass density	5.71	g cm⁻³

(8)
## SrCaLa2Ru (PBE)

Data for a relaxed structure of SrCaLa2Ru.

```
data_SrCaLa2Ru
_symmetry_space_group_name_H-M 'P 1'
_symmetry_Int_Tables_number 1
_cell_length_a 5.4944
_cell_length_b 5.4944
_cell_length_c 6.2184
_cell_angle_alpha 90.00
_cell_angle_beta 90.00
_cell_angle_gamma 90.00
loop_
_symmetry_equiv_pos_as_xyz
'x,y,z'
loop_
_atom_site_label
_atom_site_fract_x
_atom_site_fract_y
_atom_site_fract_z
_atom_site_occupancy
Ru1 0.0000 0.0000 0.0000 1
Ca1 0.5000 0.5000 0.5000 1
Sr1 0.0000 0.0000 0.5000 1
La1 0.0000 0.5000 0.0000 1
La2 0.5000 0.0000 0.0000 1
```

Properties
calculated total energy	-4.656	eV per atom
energy above the most stable polymorph in this dataset	0.041	eV per atom
total magnetic moment	0.0	μB per formula unit
energy relative to the elements	-92.8	meV per atom
mass density	4.48	g cm⁻³